Model one:
The following is a GGA-PBE calculation of a geometry-optimized Mn2BeSiNi structure, from Alexandria.

Fermi-level density of states ... 4.0 states/eV/f.u.

Lattice parameters (Å, degrees): 4.434 4.434 3.903 90.00 90.00 90.00
Space group P4/mmm (No. 123)
Unique sites:
Mn (0.000, 0.500, 0.000) x2
Be (0.000, 0.000, 0.500) x1
Si (0.500, 0.500, 0.500) x1
Ni (0.000, 0.000, 0.000) x1

Model two:
The following is a GGA-PBE calculation of a geometry-optimized Mn2BeSiNi structure, from Alexandria.

Fermi-level density of states ... 3.4 states/eV/f.u.

Lattice parameters (Å, degrees): 3.960 3.960 3.923 90.00 90.00 90.00
Space group P4/mmm (No. 123)
Unique sites:
Mn (0.000, 0.500, 0.000) x2
Be (0.000, 0.000, 0.000) x1
Si (0.000, 0.000, 0.500) x1
Ni (0.500, 0.500, 0.500) x1

Which one sits at the bottom of the stability order? model one does.